[1]
LiSmSb: relaxed, GGA-PBE.

```
LiSmSb
1.0
-2.248 3.589 1.648
-6.167 -2.320 -3.359
-3.166 -6.839 10.575
Li Sb Sm
6 6 6
direct
0.250 0.995 0.098
0.250 0.352 0.194
0.250 0.822 0.450
0.750 0.005 0.902
0.750 0.648 0.806
0.750 0.178 0.550
0.750 0.774 0.562
0.250 0.226 0.438
0.750 0.278 0.756
0.250 0.722 0.244
0.250 0.779 0.903
0.750 0.221 0.097
0.250 0.495 0.630
0.250 0.993 0.686
0.750 0.505 0.370
0.750 0.007 0.314
0.750 0.662 0.073
0.250 0.338 0.927
```

Values from the calculation:
- Calculated total energy: -4.432 eV/atom
- ΔE to the lowest computed polymorph: 2.4 kJ/mol of atoms
- Formation energy from raw total energies: -847.3 meV/atom
- Symmetry: P2_1/m


[2]
BaGa2TcPd: relaxed, GGA-PBE.

```
BaGa2TcPd
1.0
-2.464 2.359 3.505
1.026 -3.785 3.270
4.109 2.282 1.353
Ba Ga Tc Pd
1 2 1 1
direct
0.500 0.500 0.500
0.500 0.000 0.000
0.000 0.000 0.500
0.000 0.000 0.000
0.000 0.500 0.000
```

Values from the calculation:
- Calculated total energy: -4.799 eV/atom
- DFT formation energy: -92 meV per atom
- Symmetry: P4/mmm


[3]
Na3NdY2Te6: relaxed, GGA-PBE.

```
Na3NdY2Te6
1.0
-7.304 2.053 -1.548
2.249 -1.076 7.331
3.639 6.974 -1.457
Te Na Y Nd
6 3 2 1
direct
0.922 0.581 0.765
0.262 0.262 0.765
0.419 0.078 0.235
0.738 0.738 0.235
0.078 0.419 0.235
0.581 0.922 0.765
0.500 0.500 0.500
0.835 0.165 0.500
0.165 0.835 0.500
0.667 0.333 0.000
0.333 0.667 0.000
0.000 0.000 0.000
```

Values from the calculation:
- Calculated total energy: -4.705 eV/atom
- Formation energy from raw total energies: -1329.4 meV/atom
- Symmetry: C2/m


[4]
Sc4ZnPtAu2: relaxed, GGA-PBE.

```
Sc4ZnPtAu2
1.0
-2.753 -3.861 0.391
-0.632 -2.051 4.246
-7.327 2.578 2.820
Au Zn Sc Pt
2 1 4 1
direct
0.741 0.741 0.776
0.259 0.259 0.224
0.000 0.000 0.000
0.128 0.128 0.616
0.621 0.621 0.138
0.872 0.872 0.384
0.379 0.379 0.862
0.500 0.500 0.500
```

Values from the calculation:
- Calculated total energy: -5.722 eV/atom
- DFT formation energy: -823 meV per atom
- Symmetry: R-3m


[5]
MnAlCd4: relaxed, GGA-PBE.

```
MnAlCd4
1.0
-2.461 1.677 4.867
-5.621 -0.654 0.727
-1.967 -3.884 3.688
Al Cd Mn
1 4 1
direct
0.000 0.000 0.000
0.874 0.375 0.375
0.375 0.375 0.375
0.375 0.375 0.874
0.375 0.874 0.375
0.750 0.750 0.750
```

Values from the calculation:
- Calculated total energy: -2.381 eV/atom
- DFT formation energy: 382 meV per atom
- Symmetry: F-43m


[6]
HoTmTh: relaxed, GGA-PBE.

```
HoTmTh
1.0
-2.968 1.558 0.572
-1.328 -3.935 3.828
2.756 4.667 1.588
Tm Ho Th
1 1 1
direct
0.166 0.000 0.000
0.667 0.667 0.333
0.167 0.333 0.667
```

Values from the calculation:
- Calculated total energy: -5.364 eV/atom
- ΔE to the lowest computed polymorph: 10.3 kJ/mol of atoms
- DFT formation energy: 126 meV per atom
- Symmetry: P-6m2


[7]
NbV2Fe2: relaxed, GGA-PBE.

```
NbV2Fe2
1.0
-3.009 -1.837 1.410
1.919 -0.683 3.205
-2.762 9.554 1.440
Fe Nb V
4 2 4
direct
0.817 0.817 0.635
0.000 0.500 0.000
0.500 0.000 0.000
0.183 0.183 0.365
0.620 0.620 0.241
0.380 0.380 0.759
0.750 0.250 0.500
0.069 0.069 0.139
0.931 0.931 0.861
0.250 0.750 0.500
```

Values from the calculation:
- Calculated total energy: -8.892 eV/atom
- ΔE to the lowest computed polymorph: 12.6 kJ/mol of atoms
- DFT formation energy: 155 meV per atom
- Symmetry: I4/mmm


[8]
NdMgTlSn: relaxed, GGA-PBE.

```
NdMgTlSn
1.0
-2.403 -0.083 -4.789
1.934 -3.106 -3.915
-2.717 -4.348 -1.560
Sn Nd Mg Tl
1 1 1 1
direct
0.500 0.500 0.500
0.750 0.750 0.750
0.250 0.250 0.250
0.000 0.000 0.000
```

Values from the calculation:
- Calculated total energy: -3.468 eV/atom
- ΔE to the lowest computed polymorph: 14.7 kJ/mol of atoms
- DFT formation energy: -285 meV per atom
- Symmetry: F-43m


[9]
Sr8Bi2N: relaxed, GGA-PBE.

```
Sr8Bi2N
1.0
-4.167 -2.956 -4.269
5.453 -4.466 -2.231
-0.834 -4.084 8.834
Sr Bi N
8 2 1
direct
0.196 0.313 0.392
0.046 0.752 0.093
0.804 0.687 0.608
0.430 0.690 0.860
0.625 0.889 0.250
0.954 0.248 0.907
0.570 0.310 0.140
0.375 0.111 0.750
0.232 0.780 0.463
0.768 0.220 0.537
0.500 0.000 0.000
```

Values from the calculation:
- Calculated total energy: -3.006 eV/atom
- Formation energy from raw total energies: -320.2 meV/atom
- Symmetry: C2/m


[10]
Ce2SnPt: relaxed, GGA-PBE.

```
Ce2SnPt
1.0
3.434 0.000 0.000
0.000 3.434 0.000
0.000 0.000 8.445
Ce Pt Sn
2 1 1
direct
0.000 0.000 0.780
0.000 0.000 0.220
0.500 0.500 0.000
0.500 0.500 0.500
```

Values from the calculation:
- Calculated total energy: -6.272 eV/atom
- DFT formation energy: -794 meV per atom
- Symmetry: P4/mmm


[11]
AcTbYPu: relaxed, GGA-PBE.

```
AcTbYPu
1.0
5.801 0.000 0.000
2.900 5.024 0.000
2.900 1.675 4.736
Tb Pu Ac Y
1 1 1 1
direct
0.750 0.750 0.750
0.000 0.000 0.000
0.500 0.500 0.500
0.250 0.250 0.250
```

Values from the calculation:
- Calculated total energy: -7.129 eV/atom
- DFT formation energy: 255 meV per atom
- Symmetry: F-43m


[12]
K2ZrSi: relaxed, GGA-PBE.

```
K2ZrSi
1.0
-5.686 -10.892 -2.699
11.149 -5.827 0.030
2.470 -8.846 1.179
Zr Si K
2 2 4
direct
0.000 0.000 0.000
0.750 0.250 0.500
0.500 0.500 0.000
0.250 0.750 0.500
0.875 0.717 0.750
0.375 0.533 0.750
0.283 0.625 0.250
0.467 0.125 0.250
```

Values from the calculation:
- Calculated total energy: -3.355 eV/atom
- Formation energy from raw total energies: 687.0 meV/atom
- Symmetry: I-42d


[13]
TlCdF3: relaxed, GGA-PBE.

```
TlCdF3
1.0
3.977 0.000 5.079
-1.988 3.444 5.079
-1.988 -3.444 5.079
F Tl Cd
6 2 2
direct
0.444 0.750 0.056
0.556 0.250 0.944
0.056 0.444 0.750
0.750 0.056 0.444
0.250 0.944 0.556
0.944 0.556 0.250
0.000 0.000 0.000
0.500 0.500 0.500
0.750 0.750 0.750
0.250 0.250 0.250
```

Values from the calculation:
- Calculated total energy: -3.632 eV/atom
- Formation energy from raw total energies: -1852.9 meV/atom
- Symmetry: R-3c


[14]
CeEr2Zn4: relaxed, GGA-PBE.

```
CeEr2Zn4
1.0
4.681 0.000 1.462
2.112 4.177 1.462
-0.127 -0.078 8.628
Zn Er Ce
4 2 1
direct
0.124 0.124 0.627
0.384 0.384 0.848
0.616 0.616 0.152
0.876 0.876 0.373
0.756 0.756 0.733
0.244 0.244 0.267
0.000 0.000 0.000
```

Values from the calculation:
- Calculated total energy: -2.935 eV/atom
- DFT formation energy: -56 meV per atom
- Symmetry: R-3m


[15]
Ca2HPt: relaxed, GGA-PBE.

```
Ca2HPt
1.0
-3.759 0.811 0.523
-2.394 0.160 -3.051
-3.417 -6.469 -0.127
Pt Ca H
1 2 1
direct
0.667 0.667 0.000
0.082 0.082 0.754
0.252 0.252 0.244
0.499 0.499 0.502
```

Values from the calculation:
- Calculated total energy: -3.811 eV/atom
- ΔE to the lowest computed polymorph: 14.0 kJ/mol of atoms
- Symmetry: R3m


[16]
Ac2CdSn3Pt6: relaxed, GGA-PBE.

```
Ac2CdSn3Pt6
1.0
4.277 0.000 0.000
0.000 4.277 0.000
0.000 0.000 16.940
Sn Ac Pt Cd
3 2 6 1
direct
0.000 0.000 0.000
0.000 0.000 0.308
0.000 0.000 0.692
0.500 0.500 0.803
0.500 0.500 0.197
0.000 0.500 0.396
0.000 0.500 0.604
0.000 0.000 0.849
0.500 0.000 0.396
0.000 0.000 0.151
0.500 0.000 0.604
0.500 0.500 0.500
```

Values from the calculation:
- Calculated total energy: -5.303 eV/atom
- DFT formation energy: -521 meV per atom
- Symmetry: P4/mmm


[17]
La2VCl2: relaxed, GGA-PBE.

```
La2VCl2
1.0
-4.420 -1.081 -7.140
-7.076 -1.021 4.535
-0.591 3.422 -0.152
La V Cl
4 2 4
direct
0.820 0.320 0.500
0.180 0.680 0.500
0.680 0.820 0.500
0.320 0.180 0.500
0.500 0.500 0.000
0.000 0.000 0.000
0.877 0.623 0.000
0.123 0.377 0.000
0.377 0.877 0.000
0.623 0.123 0.000
```

Values from the calculation:
- Calculated total energy: -5.226 eV/atom
- ΔE to the lowest computed polymorph: 8.7 kJ/mol of atoms
- Formation energy from raw total energies: -693.0 meV/atom
- Symmetry: P4/mbm


[18]
ReNiN: relaxed, GGA-PBE.

```
ReNiN
1.0
3.443 0.000 0.000
0.000 3.409 0.000
0.000 -1.704 2.952
N Re Ni
1 1 1
direct
0.164 0.000 0.000
0.168 0.333 0.667
0.668 0.667 0.333
```

Values from the calculation:
- Calculated total energy: -8.429 eV/atom
- ΔE to the lowest computed polymorph: 0.0 kJ/mol of atoms
- Formation energy from raw total energies: 422.5 meV/atom
- Symmetry: P3m1